Computed, not measured: Gd2CI after structural relaxation at the PBE level of DFT.

a b c (Å): 3.8161 3.8161 22.5671
angles (deg): 90.00 90.00 120.00
Space group R-3m (No. 166, hexagonal axes)
Unique sites:
Gd1 0.0000 0.0000 0.2231 x6
C1 0.0000 0.0000 0.5000 x3
I1 0.0000 0.0000 0.0000 x3

Computed properties:
Distance to the lowest polymorph of the same formula = 17 meV per atom
Uncorrected energy = -10.468 eV/atom
Raw formation energy = -0.734 eV per atom
Total moment = 43.491 μB/cell


Computed, not measured: Zr2BeTc after structural relaxation at the PBE level of DFT.

a b c (Å): 3.393 4.169 5.151
angles (deg): 90.00 103.32 90.00
Space group Pm (No. 6)
Unique sites:
Zr1 0.000 0.000 0.000 x1
Zr2 0.206 0.500 0.568 x1
Be1 0.548 0.500 0.137 x1
Tc1 0.649 0.000 0.434 x1

Computed properties:
Uncorrected energy = -7.964 eV/atom
Total moment = 0.000 μB/cell
Calculated formation energy = -0.7 eV per formula unit


Computed, not measured: ThZn11Ag after structural relaxation at the PBE level of DFT.

a b c (Å): 5.328 12.707 6.881
angles (deg): 90.00 112.62 90.00
Space group C2/m (No. 12)
Unique sites:
Th1 0.000 0.000 0.000 x2
Zn1 0.000 0.500 0.500 x2
Zn2 0.103 0.389 0.216 x8
Zn3 0.180 0.179 0.354 x8
Zn4 0.250 0.250 0.000 x4
Ag1 0.000 0.000 0.500 x2

Computed properties:
Uncorrected energy = -2.015 eV/atom
Total moment = 0.000 μB/cell
Calculated formation energy = -1.9 eV per formula unit


Computed, not measured: Th8POs3Se3 after structural relaxation at the PBE level of DFT.

a b c (Å): 8.3690 8.3690 20.9402
angles (deg): 90.00 90.00 120.00
Space group R-3m (No. 166, hexagonal axes)
Unique sites:
Th1 0.0000 0.0000 0.2394 x6
Th2 0.0126 0.5063 0.7585 x18
P1 0.0000 0.0000 0.5000 x3
Os1 0.0000 0.5000 0.5000 x9
Se1 0.0000 0.5000 0.0000 x9

Computed properties:
Uncorrected energy = -8.179 eV/atom
Raw formation energy = -0.918 eV per atom
Total moment = 0.000 μB/cell


Computed, not measured: Er6BiTe3P2 after structural relaxation at the PBE level of DFT.

a b c (Å): 18.582 4.170 8.562
angles (deg): 90.00 104.24 90.00
Space group C2/m (No. 12)
Unique sites:
Er1 0.019 0.000 0.261 x4
Er2 0.173 0.500 0.125 x4
Er3 0.178 0.500 0.564 x4
Bi1 0.000 0.500 0.000 x2
Te1 0.000 0.500 0.500 x2
Te2 0.160 0.000 0.834 x4
P1 0.170 0.000 0.340 x4

Computed properties:
Uncorrected energy = -5.640 eV/atom
Raw formation energy = -1.348 eV per atom
Total moment = 0.000 μB/cell


Computed, not measured: NdSbHAu after structural relaxation at the PBE level of DFT.

a b c (Å): 4.5411 4.5411 4.5840
angles (deg): 90.00 90.00 120.00
Space group P3m1 (No. 156)
Unique sites:
Nd1 0.0000 0.0000 0.0000 x1
Sb1 0.6667 0.3333 0.5731 x1
H1 0.3333 0.6667 0.0090 x1
Au1 0.3333 0.6667 0.3920 x1

Computed properties:
Uncorrected energy = -4.516 eV/atom
Total moment = 0.000 μB/cell


Computed, not measured: YFe3Pt after structural relaxation at the PBE level of DFT.

a b c (Å): 4.708 4.708 4.708
angles (deg): 90.00 90.00 90.00
Space group Pm-3m (No. 221)
Unique sites:
Y1 0.000 0.000 0.000 x1
Fe1 0.000 0.500 0.500 x3
Pt1 0.500 0.500 0.500 x1

Computed properties:
Distance to the lowest polymorph of the same formula = 0 meV per atom
Uncorrected energy = -7.001 eV/atom
Total moment = 8.549 μB/cell
Calculated formation energy = 2.9 eV per formula unit


Computed, not measured: TmBeCu3 after structural relaxation at the PBE level of DFT.

a b c (Å): 4.206 4.206 4.206
angles (deg): 90.00 90.00 90.00
Space group Pm-3m (No. 221)
Unique sites:
Tm1 0.000 0.000 0.000 x1
Be1 0.500 0.500 0.500 x1
Cu1 0.000 0.500 0.500 x3

Computed properties:
Distance to the lowest polymorph of the same formula = 90 meV per atom
Uncorrected energy = -4.135 eV/atom
Total moment = 0.000 μB/cell
Calculated formation energy = -0.2 eV per formula unit


Computed, not measured: LiSb2TeMo after structural relaxation at the PBE level of DFT.

a b c (Å): 5.237 5.237 5.554
angles (deg): 90.00 90.00 90.00
Space group P4/mmm (No. 123)
Unique sites:
Li1 0.000 0.000 0.000 x1
Sb1 0.000 0.500 0.500 x2
Te1 0.500 0.500 0.000 x1
Mo1 0.500 0.500 0.500 x1

Computed properties:
Distance to the lowest polymorph of the same formula = 0 meV per atom
Uncorrected energy = -4.498 eV/atom
Raw formation energy = 0.328 eV per atom
Total moment = 0.000 μB/cell


Computed, not measured: UNi2Pd after structural relaxation at the PBE level of DFT.

a b c (Å): 2.8162 2.8162 26.6708
angles (deg): 90.00 90.00 120.00
Space group R-3m (No. 166, hexagonal axes)
Unique sites:
U1 0.0000 0.0000 0.0000 x3
Ni1 0.0000 0.0000 0.0873 x6
Pd1 0.0000 0.0000 0.5000 x3

Computed properties:
Uncorrected energy = -6.751 eV/atom
Total moment = 3.583 μB/cell
Calculated formation energy = 1.0 eV per formula unit


Computed, not measured: Ba3ScO4 after structural relaxation at the PBE level of DFT.

a b c (Å): 6.843 6.843 6.843
angles (deg): 90.00 90.00 90.00
Space group I-43m (No. 217)
Unique sites:
Ba1 0.000 0.000 0.500 x6
Sc1 0.000 0.000 0.000 x2
O1 0.170 0.170 0.830 x8

Computed properties:
Uncorrected energy = -6.323 eV/atom
Raw formation energy = -2.331 eV per atom
Total moment = 0.000 μB/cell


Computed, not measured: TlCuTe2 after structural relaxation at the PBE level of DFT.

a b c (Å): 6.081 6.081 11.868
angles (deg): 90.00 90.00 90.00
Space group I4_1/amd (No. 141, origin choice 2)
Unique sites:
Tl1 0.000 0.250 0.375 x4
Cu1 0.000 0.250 0.875 x4
Te1 0.000 0.250 0.094 x8

Computed properties:
Uncorrected energy = -3.170 eV/atom
Raw formation energy = 0.016 eV per atom
Total moment = 0.000 μB/cell